1.
Density functional theory data (PBE-GGA) for a relaxed EuTcN2 crystal.

```
EuTcN2
1.0
-0.183 -2.743 -1.786
2.743 -1.490 -1.002
0.904 -4.323 3.538
Eu Tc N
1 1 2
direct
0.500 0.500 0.500
0.000 0.000 0.000
0.266 0.266 0.201
0.734 0.734 0.799
```

E: -9.73 eV/atom
calculated density: 9.30 Mg/m³
M_tot: 7.6 μB/cell
energy above the lowest structure with this stoichiometry: 0 meV per atom
formation energy without anion corrections: -0.404 eV per atom



2.
Density functional theory data (PBE-GGA) for a relaxed BaScPb2 crystal.

```
BaScPb2
1.0
4.416 0.000 0.000
0.000 3.596 0.002
0.000 3.592 7.811
Pb Sc Ba
2 1 1
direct
0.000 0.955 0.047
0.000 0.545 0.453
0.500 0.250 0.250
0.500 0.750 0.750
```

E: -4.33 eV/atom
calculated density: 7.99 Mg/m³
calculated formation energy: -0.408 eV/atom
M_tot: 0.0 μB/cell



Which of these has the highest M_tot?
EuTcN2